#A
Compound: ReOsS2
Source: Alexandria via LeMat-Bulk
Functional: PBE
Structure: optimized geometry

Calculated values
Its size of the total moment is 0.0000 μB/atom.

CIF file:
```
data_ReOsS2
_chemical_formula_sum 'Re3 Os3 S6'
_cell_length_a 2.9836
_cell_length_b 2.9836
_cell_length_c 23.5355
_cell_angle_alpha 90.00
_cell_angle_beta 90.00
_cell_angle_gamma 120.00
_space_group_name_H-M_alt 'R -3 m'
_space_group_IT_number 166
_space_group_name_Hall '-R 3 2"'
loop_
_atom_site_label
_atom_site_fract_x
_atom_site_fract_y
_atom_site_fract_z
_atom_site_occupancy
Re1 0.0000 0.0000 0.0000 1
Os1 0.0000 0.0000 0.5000 1
S1 0.0000 0.0000 0.4050 1
```


#B
Compound: ReOsS2
Source: Alexandria via LeMat-Bulk
Functional: PBE
Structure: optimized geometry

Calculated values
Its size of the total moment is 0.0000 μB/atom.

CIF file:
```
data_ReOsS2
_chemical_formula_sum 'Re4 Os4 S8'
_cell_length_a 5.214
_cell_length_b 5.214
_cell_length_c 10.444
_cell_angle_alpha 90.00
_cell_angle_beta 90.00
_cell_angle_gamma 90.00
_space_group_name_H-M_alt 'I -4 2 d'
_space_group_IT_number 122
_space_group_name_Hall 'I -4 2bw'
loop_
_atom_site_label
_atom_site_fract_x
_atom_site_fract_y
_atom_site_fract_z
_atom_site_occupancy
Re1 0.000 0.000 0.000 1
Os1 0.000 0.000 0.500 1
S1 0.250 0.250 0.125 1
```


Which is more stable than every other structure shown? #A is more stable than every other one.